The following is a DFT calculation (PBE) of a geometry-optimized Sr3ReTe structure.

Unit cell a=5.6761 b=5.6761 c=5.6761 alpha=90.00 beta=90.00 gamma=90.00
With the nearest neighbours (Å) after each atom.
Positions (direct):
Sr 0.0000 0.0000 0.5000  2 Re 2.84
Sr 0.0000 0.5000 0.0000  2 Re 2.84
Sr 0.5000 0.0000 0.0000  2 Re 2.84
Re 0.0000 0.0000 0.0000  6 Sr 2.84
Te 0.5000 0.5000 0.5000  12 Sr 4.01

Results
Spin magnetization, μB/cell: 0.00
Relative energy among the computed polymorphs, meV/atom: 0
Energy relative to the elements, uncorrected, eV/atom: 0.2606
Final energy, eV per atom: -3.87

The following is a DFT calculation (PBE) of a geometry-optimized PuAlH8Rh2 structure.

Unit cell a=6.5836 b=6.5836 c=6.5836 alpha=37.71 beta=37.71 gamma=37.71
With the nearest neighbours (Å) after each atom.
Positions (direct):
Pu 0.0000 0.0000 0.0000  18 H 2.48-2.50
Al 0.5000 0.5000 0.5000  6 H 2.17
H 0.0706 0.5684 0.5684  1 H 1.47
H 0.3583 0.3583 0.3583  3 H 1.47
H 0.4316 0.4316 0.9294  1 H 1.47
H 0.4316 0.9294 0.4316  1 H 1.47
H 0.5684 0.0706 0.5684  1 H 1.47
H 0.5684 0.5684 0.0706  1 H 1.47
H 0.6417 0.6417 0.6417  3 H 1.47
H 0.9294 0.4316 0.4316  1 H 1.47
Rh 0.2028 0.2028 0.2028  3 H 1.67
Rh 0.7972 0.7972 0.7972  3 H 1.67

Results
Spin magnetization, μB/cell: 5.04
Final energy, eV per atom: -5.10

The following is a DFT calculation (PBE) of a geometry-optimized TcRu2Rh structure.

Unit cell a=2.7034 b=3.8611 c=5.4154 alpha=90.00 beta=90.00 gamma=90.00
With the nearest neighbours (Å) after each atom.
Positions (direct):
Tc 0.0000 0.0000 0.0000  6 Ru 2.65-2.77, 2 Tc 2.70, 4 Rh 2.72
Ru 0.0000 0.0000 0.5114  2 Tc 2.65-2.77, 6 Ru 2.69-2.70, 4 Rh 2.75
Ru 0.5000 0.5000 0.7500  6 Ru 2.69-2.70, 2 Rh 2.70-2.71, 4 Tc 2.72
Rh 0.5000 0.5000 0.2512  6 Ru 2.70-2.75, 2 Rh 2.70, 4 Tc 2.72

Results
Spin magnetization, μB/cell: 0.00
Relative energy among the computed polymorphs, meV/atom: 98
Final energy, eV per atom: -9.04

The following is a DFT calculation (PBE) of a geometry-optimized ScTl2HF6 structure.

Unit cell a=5.9102 b=5.9102 c=5.9102 alpha=112.24 beta=108.24 gamma=107.96
With the nearest neighbours (Å) after each atom.
Positions (direct):
Sc 0.0000 0.0000 0.0000  6 F 2.00-2.14
Tl 0.5000 0.2501 0.7501  8 F 2.99, 2 Tl 3.29-3.30
Tl 0.5000 0.7499 0.2499  8 F 2.99, 2 Tl 3.29-3.30
H 0.0000 0.5000 0.5000  2 F 1.16
F 0.0000 0.3241 0.3241  1 H 1.16
F 0.0000 0.6759 0.6759  1 H 1.16
F 0.0007 0.7961 0.2046  1 Sc 2.00
F 0.4085 0.2039 0.2046  1 Sc 2.00
F 0.5915 0.7961 0.7954  1 Sc 2.00
F 0.9993 0.2039 0.7954  1 Sc 2.00

Results
Spin magnetization, μB/cell: 0.00
Final energy, eV per atom: -5.16

The following is a DFT calculation (PBE) of a geometry-optimized TlHg2P structure.

Unit cell a=7.5611 b=7.5611 c=7.5611 alpha=151.46 beta=149.11 gamma=42.55
With the nearest neighbours (Å) after each atom.
Positions (direct):
Tl 0.0000 0.0000 0.0000  2 P 3.16, 6 Hg 3.30-3.35
Hg 0.3101 0.8101 0.5000  4 P 2.75
Hg 0.6304 0.6304 0.0000  2 Hg 3.24, 2 P 3.25, 4 Tl 3.30
P 0.8191 0.3191 0.5000  4 Hg 2.75

Results
Spin magnetization, μB/cell: 0.00
Relative energy among the computed polymorphs, meV/atom: 76
Final energy, eV per atom: -1.87

The following is a DFT calculation (PBE) of a geometry-optimized NaTm2Pu3Te6 structure.

Unit cell a=9.8438 b=9.8438 c=8.8516 alpha=102.33 beta=102.33 gamma=25.74
With the nearest neighbours (Å) after each atom.
Positions (direct):
Na 0.0000 0.0000 0.0000  6 Te 3.11-3.15
Tm 0.3334 0.3334 0.6632  6 Te 3.03-3.08
Tm 0.6666 0.6666 0.3368  6 Te 3.03-3.08
Pu 0.0000 0.0000 0.5000  6 Te 3.12-3.17
Pu 0.3354 0.3354 0.1637  6 Te 3.14-3.17
Pu 0.6646 0.6646 0.8363  6 Te 3.14-3.17
Te 0.1678 0.1678 0.0943  2 Tm 3.07, 3 Pu 3.14-3.16, 1 Na 3.15
Te 0.1692 0.1692 0.5811  3 Tm 3.07-3.08, 3 Pu 3.16-3.17
Te 0.4954 0.4954 0.7486  1 Tm 3.03, 2 Na 3.11, 3 Pu 3.12-3.17
Te 0.5046 0.5046 0.2514  1 Tm 3.03, 2 Na 3.11, 3 Pu 3.12-3.17
Te 0.8308 0.8308 0.4189  3 Tm 3.07-3.08, 3 Pu 3.16-3.17
Te 0.8322 0.8322 0.9057  2 Tm 3.07, 3 Pu 3.14-3.16, 1 Na 3.15

Results
Spin magnetization, μB/cell: 6.07
Energy relative to the elements, uncorrected, eV/atom: -1.1288
Final energy, eV per atom: -7.14

The highest spin magnetization belongs to which entry? NaTm2Pu3Te6

Among the records above, which one has the highest final energy? TlHg2P